Record 1
Eu2DyZn after structural relaxation. Source: Alexandria via LeMat-Bulk, functional PBE.

Lattice parameters (Å, degrees): 3.583 3.583 11.930 81.36 81.36 60.00
Site moments in Bohr magnetons follow the coordinates.
Sites, in units of the cell vectors:
Dy: 0.000 0.000 0.000  0.19
Eu: 0.098 0.098 0.705  7.05
Zn: 0.500 0.500 0.500  0.05
Eu: 0.902 0.902 0.295  7.05

Results
The size of the total moment is 15.5 μB/f.u. Its space group is No. 166. Its energy of formation is 4.47 kcal/mol of atoms. For the energy above the most stable polymorph in this dataset, the calculation gives 250 meV per atom. As for the energy: -25.6 eV/cell.



Record 2
Pa3RhS6 after structural relaxation. Source: Alexandria via LeMat-Bulk, functional PBE.

Lattice parameters (Å, degrees): 7.747 7.747 7.747 99.95 99.95 99.95
Site moments in Bohr magnetons follow the coordinates.
Sites, in units of the cell vectors:
Pa: 0.709 0.383 0.873  0.72
Pa: 0.617 0.127 0.291  0.72
Pa: 0.127 0.291 0.617  0.72
S: 0.569 0.819 0.430  -0.03
Pa: 0.873 0.709 0.383  0.72
Pa: 0.383 0.873 0.709  0.72
S: 0.570 0.431 0.181  -0.03
Rh: 0.500 0.500 0.500  -0.19
S: 0.819 0.430 0.569  -0.03
S: 0.952 0.062 0.309  -0.03
S: 0.430 0.569 0.819  -0.03
S: 0.691 0.048 0.938  -0.03
Rh: 0.000 0.000 0.000  -0.07
S: 0.048 0.938 0.691  -0.03
S: 0.431 0.181 0.570  -0.03
S: 0.309 0.952 0.062  -0.03
S: 0.938 0.691 0.048  -0.03
Pa: 0.291 0.617 0.127  0.72
S: 0.181 0.570 0.431  -0.03
S: 0.062 0.309 0.952  -0.03

Results
The size of the total moment is 2.3 μB/f.u. Its space group is No. 148. For the energy above the most stable polymorph in this dataset, the calculation gives 150 meV per atom. The uncorrected formation energy is -1.310 eV per atom. As for the energy: -147.4 eV/cell.



Record 3
FeReIr2 after structural relaxation. Source: Alexandria via LeMat-Bulk, functional PBE.

Lattice parameters (Å, degrees): 8.837 8.837 8.837 17.85 17.85 17.85
Site moments in Bohr magnetons follow the coordinates.
Sites, in units of the cell vectors:
Ir: 0.499 0.499 0.499  -0.01
Ir: 0.001 0.001 0.001  -0.01
Re: 0.250 0.250 0.250  -0.16
Fe: 0.750 0.750 0.750  2.58

Results
The size of the total moment is 2.4 μB/f.u. Its space group is No. 166. Its energy of formation is -1.11 kcal/mol of atoms. For the energy above the most stable polymorph in this dataset, the calculation gives 95 meV per atom. As for the energy: -38.8 eV/cell.



Record 4
Hf2Os2Se after structural relaxation. Source: Alexandria via LeMat-Bulk, functional PBE.

Lattice parameters (Å, degrees): 3.560 3.560 8.083 77.28 77.28 90.00
Sites, in units of the cell vectors:
Os: 0.750 0.250 0.500
Se: 0.000 0.000 0.000
Hf: 0.607 0.607 0.785
Hf: 0.393 0.393 0.215
Os: 0.250 0.750 0.500

Results
The size of the total moment is 0.0 μB/f.u. Its space group is No. 139. For the energy above the most stable polymorph in this dataset, the calculation gives 0 meV per atom. The uncorrected formation energy is -0.139 eV per atom. As for the energy: -46.5 eV/cell.



Record 5
Zr2MnP after structural relaxation. Source: Alexandria via LeMat-Bulk, functional PBE.

Lattice parameters (Å, degrees): 7.345 7.345 5.929 51.73 51.73 90.00
Site moments in Bohr magnetons follow the coordinates.
Sites, in units of the cell vectors:
Mn: 0.000 0.000 0.000  3.51
P: 0.500 0.500 0.000  0.01
P: 0.250 0.750 0.500  0.01
Zr: 0.375 0.401 0.750  -0.07
Zr: 0.599 0.125 0.250  -0.07
Zr: 0.875 0.849 0.750  -0.07
Mn: 0.750 0.250 0.500  3.51
Zr: 0.151 0.625 0.250  -0.07

Results
The size of the total moment is 3.5 μB/f.u. Its space group is No. 122. Its energy of formation is -2.96 kcal/mol of atoms. As for the energy: -64.4 eV/cell.



Record 6
CaH2Pt2 after structural relaxation. Source: Alexandria via LeMat-Bulk, functional PBE.

Lattice parameters (Å, degrees): 7.161 7.161 2.918 90.00 90.00 90.00
Sites, in units of the cell vectors:
Ca: 0.500 0.500 0.000
H: 0.770 0.730 0.500
Pt: 0.866 0.634 0.000
H: 0.270 0.770 0.500
H: 0.230 0.270 0.500
Pt: 0.634 0.134 0.000
Ca: 0.000 0.000 0.000
Pt: 0.366 0.866 0.000
Pt: 0.134 0.366 0.000
H: 0.730 0.230 0.500

Results
The size of the total moment is 0.0 μB/f.u. Its space group is No. 127. For the energy above the most stable polymorph in this dataset, the calculation gives 210 meV per atom. As for the energy: -42.8 eV/cell.